AcPm5Tl4 | PBE-GGA | relaxed

Lattice parameters (Å, degrees): 3.702 3.702 22.639 90.00 90.00 90.00
Element x y z (fractional)
Ac 0.000 0.000 0.000
Pm 0.500 0.500 0.122
Pm 0.500 0.500 0.310
Pm 0.500 0.500 0.500
Pm 0.500 0.500 0.690
Pm 0.500 0.500 0.878
Tl 0.000 0.000 0.215
Tl 0.000 0.000 0.405
Tl 0.000 0.000 0.595
Tl 0.000 0.000 0.785

Summary:
- volume (Å³/cell) = 310.3
- DOS at the Fermi energy (states/eV/cell) = 10.828
- spin magnetization (μB/f.u.) = 0.02
- formation enthalpy at 0 K (eV per atom) = -0.30